## Ho2Zn15Au2 (PBE-GGA)

Data for an optimized crystal structure of Ho2Zn15Au2.

## Properties
E_tot (eV/cell): -39.9
Theoretical density (g cm⁻³): 9.18
M_tot (μB/f.u.): 0.003

Cell: 6.8046 6.8046 6.8046 Å, 82.84 82.84 82.84°
Atoms (fractional coordinates):
Ho  0.1602  0.1602  0.1602
Ho  0.8398  0.8398  0.8398
Zn  0.0000  0.5000  0.5000
Zn  0.1460  0.1460  0.6643
Zn  0.1460  0.6643  0.1460
Zn  0.2025  0.5000  0.7975
Zn  0.2025  0.7975  0.5000
Zn  0.3357  0.8540  0.8540
Zn  0.5000  0.0000  0.5000
Zn  0.5000  0.2025  0.7975
Zn  0.5000  0.5000  0.0000
Zn  0.5000  0.7975  0.2025
Zn  0.6643  0.1460  0.1460
Zn  0.7975  0.2025  0.5000
Zn  0.7975  0.5000  0.2025
Zn  0.8540  0.3357  0.8540
Zn  0.8540  0.8540  0.3357
Au  0.3886  0.3886  0.3886
Au  0.6114  0.6114  0.6114

***

## Ho3Zn2Au (PBE-GGA)

Data for an optimized crystal structure of Ho3Zn2Au.

## Properties
E_tot (eV/cell): -22.7
Theoretical density (g cm⁻³): 10.13
M_tot (μB/f.u.): 0.014

Cell: 3.5677 3.5677 10.5977 Å, 90.00 90.00 90.00°
Atoms (fractional coordinates):
Ho  0.0000  0.0000  0.0000
Ho  0.0000  0.0000  0.3315
Ho  0.0000  0.0000  0.6685
Zn  0.5000  0.5000  0.1610
Zn  0.5000  0.5000  0.8390
Au  0.5000  0.5000  0.5000

***

## HoZrZn2Au4 (PBE-GGA)

Data for an optimized crystal structure of HoZrZn2Au4.

## Properties
E_tot (eV/cell): -33.2
Theoretical density (g cm⁻³): 12.86
M_tot (μB/f.u.): 0.012

Cell: 4.7549 4.7549 6.7097 Å, 90.00 90.00 90.00°
Atoms (fractional coordinates):
Ho  0.0000  0.0000  0.0000
Zr  0.5000  0.5000  0.5000
Zn  0.0000  0.0000  0.5000
Zn  0.5000  0.5000  0.0000
Au  0.0000  0.5000  0.2613
Au  0.0000  0.5000  0.7387
Au  0.5000  0.0000  0.2613
Au  0.5000  0.0000  0.7387

***

## HoZrAu6 (PBE-GGA)

Data for an optimized crystal structure of HoZrAu6.

## Properties
E_tot (eV/cell): -37.7
Theoretical density (g cm⁻³): 15.50
M_tot (μB/f.u.): 0.002

Cell: 4.9532 6.1531 5.0547 Å, 90.00 90.00 90.00°
Atoms (fractional coordinates):
Ho  0.0000  0.0000  0.0000
Zr  0.5000  0.5000  0.3147
Au  0.0000  0.2620  0.4958
Au  0.0000  0.5000  0.0028
Au  0.0000  0.7380  0.4958
Au  0.5000  0.0000  0.3285
Au  0.5000  0.2536  0.8209
Au  0.5000  0.7464  0.8209

***

## HoZrAu2 (PBE-GGA)

Data for an optimized crystal structure of HoZrAu2.

## Properties
E_tot (eV/cell): -43.4
Theoretical density (g cm⁻³): 12.24
M_tot (μB/f.u.): 0.377

Cell: 4.8623 4.8623 8.6153 Å, 90.00 90.00 120.00°
Atoms (fractional coordinates):
Ho  0.0000  0.0000  0.0000
Ho  0.0000  0.0000  0.5000
Zr  0.3333  0.6667  0.2500
Zr  0.6667  0.3333  0.7500
Au  0.3333  0.6667  0.5870
Au  0.3333  0.6667  0.9130
Au  0.6667  0.3333  0.0870
Au  0.6667  0.3333  0.4130

***

## Au3I4 (PBE-GGA)

Data for an optimized crystal structure of Au3I4.

## Properties
E_tot (eV/cell): -15.9
Theoretical density (g cm⁻³): 7.60
Polymorph energy (0 for the lowest one) (meV per atom): 0.0

Cell: 7.6073 7.6073 7.6073 Å, 131.76 131.76 70.61°
Atoms (fractional coordinates):
Au  0.0000  0.0000  0.0000
Au  0.2500  0.7500  0.5000
Au  0.7500  0.2500  0.5000
I  0.1543  0.1543  0.5401
I  0.3858  0.8457  0.0000
I  0.6142  0.6142  0.4599
I  0.8457  0.3858  0.0000

***

## Au3I4 (PBE-GGA)

Data for an optimized crystal structure of Au3I4.

## Properties
E_tot (eV/cell): -15.8
Theoretical density (g cm⁻³): 7.54
Polymorph energy (0 for the lowest one) (meV per atom): 2.1

Cell: 6.2239 6.2239 6.2488 Å, 90.00 90.00 90.00°
Atoms (fractional coordinates):
Au  0.0000  0.0000  0.0000
Au  0.0000  0.5000  0.5000
Au  0.5000  0.0000  0.5000
I  0.2676  0.2676  0.7675
I  0.2676  0.7324  0.2325
I  0.7324  0.2676  0.2325
I  0.7324  0.7324  0.7675

***

## AuI3 (PBE-GGA)

Data for an optimized crystal structure of AuI3.

## Properties
E_tot (eV/cell): -15.0
Theoretical density (g cm⁻³): 6.85

Cell: 7.2685 7.2685 7.2685 Å, 61.41 61.41 61.41°
Atoms (fractional coordinates):
Au  0.1643  0.1643  0.1643
Au  0.8357  0.8357  0.8357
I  0.0571  0.4197  0.7542
I  0.2458  0.9429  0.5803
I  0.4197  0.7542  0.0571
I  0.5803  0.2458  0.9429
I  0.7542  0.0571  0.4197
I  0.9429  0.5803  0.2458

***

## In2AuI (PBE-GGA)

Data for an optimized crystal structure of In2AuI.

## Properties
E_tot (eV/cell): -10.6
Theoretical density (g cm⁻³): 7.20

Cell: 4.5165 6.6541 6.6541 Å, 39.68 90.00 90.00°
Atoms (fractional coordinates):
In  0.0000  0.0000  0.0000
In  0.5000  0.2631  0.2631
Au  0.0000  0.7741  0.7741
I  0.5000  0.5235  0.5235

***

## KAuI4 (PBE-GGA)

Data for an optimized crystal structure of KAuI4.

## Properties
E_tot (eV/cell): -55.1
Theoretical density (g cm⁻³): 4.82

Cell: 10.2724 7.1685 14.2089 Å, 90.00 101.45 90.00°
Atoms (fractional coordinates):
K  0.2026  0.0633  0.1856
K  0.2026  0.4367  0.6856
K  0.7974  0.5633  0.3144
K  0.7974  0.9367  0.8144
Au  0.0000  0.0000  0.5000
Au  0.0000  0.5000  0.0000
Au  0.5000  0.0000  0.5000
Au  0.5000  0.5000  0.0000
I  0.0852  0.5687  0.1881
I  0.0852  0.9313  0.6881
I  0.1401  0.7040  0.4588
I  0.1401  0.7960  0.9588
I  0.3476  0.2205  0.9154
I  0.3476  0.2795  0.4154
I  0.4976  0.1516  0.6717
I  0.4976  0.3484  0.1717
I  0.5024  0.6516  0.8283
I  0.5024  0.8484  0.3283
I  0.6524  0.7205  0.5846
I  0.6524  0.7795  0.0846
I  0.8599  0.2040  0.0412
I  0.8599  0.2960  0.5412
I  0.9148  0.0687  0.3119
I  0.9148  0.4313  0.8119

***

## K2AuI5O15 (PBE-GGA)

Data for an optimized crystal structure of K2AuI5O15.

## Properties
E_tot (eV/cell): -200.7
Theoretical density (g cm⁻³): 5.16

Cell: 8.1059 8.1059 11.2668 Å, 90.00 90.00 90.50°
Atoms (fractional coordinates):
K  0.0120  0.5263  0.5000
K  0.4737  0.9880  0.5000
K  0.5263  0.0120  0.0000
K  0.9880  0.4737  0.0000
Au  0.0111  0.9889  0.3982
Au  0.9889  0.0111  0.8982
I  0.2404  0.7596  0.2246
I  0.2425  0.2705  0.2557
I  0.2556  0.7444  0.7765
I  0.2705  0.2425  0.7557
I  0.4988  0.5012  0.5033
I  0.5012  0.4988  0.0033
I  0.7295  0.7575  0.2557
I  0.7444  0.2556  0.2765
I  0.7575  0.7295  0.7557
I  0.7596  0.2404  0.7246
O  0.0307  0.7220  0.1717
O  0.0319  0.2767  0.1974
O  0.1620  0.1901  0.9036
O  0.1634  0.8366  0.9186
O  0.1867  0.8133  0.3859
O  0.1901  0.1620  0.4036
O  0.2285  0.5331  0.8328
O  0.2523  0.4675  0.3369
O  0.2767  0.0319  0.6974
O  0.2780  0.9693  0.1717
O  0.3096  0.4476  0.0850
O  0.3575  0.6425  0.5794
O  0.4476  0.3096  0.5850
O  0.4669  0.7715  0.8328
O  0.4675  0.2523  0.8369
O  0.5325  0.7477  0.3369
O  0.5331  0.2285  0.3328
O  0.5524  0.6904  0.0850
O  0.6425  0.3575  0.0794
O  0.6904  0.5524  0.5850
O  0.7220  0.0307  0.6717
O  0.7233  0.9681  0.1974
O  0.7477  0.5325  0.8369
O  0.7715  0.4669  0.3328
O  0.8099  0.8380  0.9036
O  0.8133  0.1867  0.8858
O  0.8366  0.1634  0.4186
O  0.8380  0.8099  0.4036
O  0.9681  0.7233  0.6974
O  0.9693  0.2780  0.6717

***

## KAuS12I4 (PBE-GGA)

Data for an optimized crystal structure of KAuS12I4.

## Properties
E_tot (eV/cell): -59.8
Theoretical density (g cm⁻³): 3.12

Cell: 6.8051 9.4262 9.7292 Å, 83.70 75.84 88.60°
Atoms (fractional coordinates):
K  0.0000  0.0000  0.0000
Au  0.6860  0.4730  0.2943
S  0.3421  0.3044  0.5945
S  0.4705  0.7781  0.1338
S  0.5632  0.2559  0.4301
S  0.5715  0.1713  0.0901
S  0.6262  0.7303  0.6024
S  0.6279  0.9078  0.4796
S  0.7390  0.6937  0.1374
S  0.7904  0.3274  0.0781
S  0.8004  0.5611  0.5012
S  0.8521  0.4501  0.8985
S  0.8819  0.0356  0.5604
S  0.9670  0.8881  0.6847
I  0.1315  0.6636  0.3558
I  0.1571  0.0987  0.3187
I  0.3100  0.6763  0.9535
I  0.4499  0.2408  0.8289

***

## La2Au2I (PBE-GGA)

Data for an optimized crystal structure of La2Au2I.

## Properties
E_tot (eV/cell): -22.5
Theoretical density (g cm⁻³): 8.51
M_tot (μB/f.u.): 0.015

Cell: 4.6596 4.6596 8.2859 Å, 90.00 90.00 120.00°
Atoms (fractional coordinates):
La  0.0000  0.0000  0.2150
La  0.0000  0.0000  0.7850
Au  0.3333  0.6667  0.0000
Au  0.6667  0.3333  0.0000
I  0.6667  0.3333  0.5000

***

## LiAuI2 (PBE-GGA)

Data for an optimized crystal structure of LiAuI2.

## Properties
E_tot (eV/cell): -10.6
Theoretical density (g cm⁻³): 5.64

Cell: 4.5899 4.5899 7.3893 Å, 90.00 90.00 120.00°
Atoms (fractional coordinates):
Li  0.0000  0.0000  0.0000
Au  0.3333  0.6667  0.4920
I  0.0000  0.0000  0.6207
I  0.3333  0.6667  0.1098

***

## NaAuI3 (PBE-GGA)

Data for an optimized crystal structure of NaAuI3.

## Properties
E_tot (eV/cell): -47.4
Theoretical density (g cm⁻³): 5.30

Cell: 7.4791 8.8191 12.5092 Å, 90.00 114.05 90.00°
Atoms (fractional coordinates):
Na  0.1793  0.1403  0.2314
Na  0.1793  0.3597  0.7314
Na  0.8207  0.6403  0.2686
Na  0.8207  0.8597  0.7686
Au  0.0000  0.0000  0.5000
Au  0.0000  0.5000  0.0000
Au  0.5000  0.0000  0.0000
Au  0.5000  0.5000  0.5000
I  0.1884  0.1793  0.9703
I  0.1884  0.3207  0.4703
I  0.2021  0.6464  0.9040
I  0.2021  0.8536  0.4040
I  0.4237  0.0264  0.7724
I  0.4237  0.4736  0.2724
I  0.5763  0.5264  0.7276
I  0.5763  0.9736  0.2276
I  0.7979  0.1464  0.5960
I  0.7979  0.3536  0.0960
I  0.8116  0.6793  0.5297
I  0.8116  0.8207  0.0297

***

## Nb3AuI (PBE-GGA)

Data for an optimized crystal structure of Nb3AuI.

## Properties
E_tot (eV/cell): -26.5
Theoretical density (g cm⁻³): 8.07
M_tot (μB/f.u.): 2.086

Cell: 4.9859 4.9859 4.9859 Å, 90.00 90.00 90.00°
Atoms (fractional coordinates):
Nb  0.0000  0.0000  0.5000
Nb  0.0000  0.5000  0.0000
Nb  0.5000  0.0000  0.0000
Au  0.5000  0.5000  0.5000
I  0.0000  0.0000  0.0000

***

## AuIO (PBE-GGA)

Data for an optimized crystal structure of AuIO.

## Properties
E_tot (eV/cell): -17.0
Theoretical density (g cm⁻³): 9.33
Polymorph energy (0 for the lowest one) (meV per atom): 248.6

Cell: 9.1502 9.1502 9.1502 Å, 25.06 25.06 25.06°
Atoms (fractional coordinates):
Au  0.2181  0.2181  0.2181
Au  0.7819  0.7819  0.7819
I  0.3832  0.3832  0.3832
I  0.6168  0.6168  0.6168
O  0.1374  0.1374  0.1374
O  0.8626  0.8626  0.8626

***

## AuIO (PBE-GGA)

Data for an optimized crystal structure of AuIO.

## Properties
E_tot (eV/cell): -16.9
Theoretical density (g cm⁻³): 8.65
Polymorph energy (0 for the lowest one) (meV per atom): 261.9

Cell: 4.0893 4.0893 7.8057 Å, 90.00 90.00 90.00°
Atoms (fractional coordinates):
Au  0.2500  0.2500  0.0967
Au  0.7500  0.7500  0.9033
I  0.2500  0.2500  0.6421
I  0.7500  0.7500  0.3579
O  0.2500  0.7500  0.0000
O  0.7500  0.2500  0.0000

***

## AuIO6 (PBE-GGA)

Data for an optimized crystal structure of AuIO6.

## Properties
E_tot (eV/cell): -28.7
Theoretical density (g cm⁻³): 6.76

Cell: 5.2638 5.2638 5.2638 Å, 60.00 60.00 60.00°
Atoms (fractional coordinates):
Au  0.0000  0.0000  0.0000
I  0.7500  0.7500  0.7500
O  0.0020  0.0020  0.4980
O  0.0020  0.4980  0.0020
O  0.0020  0.4980  0.4980
O  0.4980  0.0020  0.0020
O  0.4980  0.0020  0.4980
O  0.4980  0.4980  0.0020

***

## Au6IO (PBE-GGA)

Data for an optimized crystal structure of Au6IO.

## Properties
E_tot (eV/cell): -22.8
Theoretical density (g cm⁻³): 12.78

Cell: 6.2439 6.2439 6.2439 Å, 60.00 60.00 60.00°
Atoms (fractional coordinates):
Au  0.2291  0.2291  0.7709
Au  0.2291  0.7709  0.2291
Au  0.2291  0.7709  0.7709
Au  0.7709  0.2291  0.2291
Au  0.7709  0.2291  0.7709
Au  0.7709  0.7709  0.2291
I  0.7500  0.7500  0.7500
O  0.5000  0.5000  0.5000

***

## AuIO (PBE-GGA)

Data for an optimized crystal structure of AuIO.

## Properties
E_tot (eV/cell): -34.2
Theoretical density (g cm⁻³): 8.99
Polymorph energy (0 for the lowest one) (meV per atom): 225.5

Cell: 7.8192 7.5174 6.3863 Å, 67.88 62.95 49.17°
Atoms (fractional coordinates):
Au  0.0398  0.7102  0.0398
Au  0.2898  0.9602  0.2898
Au  0.7102  0.0398  0.7102
Au  0.9602  0.2898  0.9602
I  0.0000  0.5000  0.5000
I  0.5000  0.0000  0.5000
I  0.5000  0.5000  0.0000
I  0.5000  0.5000  0.5000
O  0.0116  0.0116  0.2384
O  0.2384  0.2384  0.0116
O  0.7616  0.7616  0.9884
O  0.9884  0.9884  0.7616